# Cs2BaPu3F12, relaxed, DFT PBE
# Energy relative to the elements, uncorrected, meV per atom: -3349.6
# Total energy, eV/atom: -7.19
# Total moment, μB per cell: 47.97
data_Cs2BaPu3F12
_chemical_formula_sum 'Cs6 Ba3 Pu9 F36'
_cell_length_a 8.8061
_cell_length_b 8.8061
_cell_length_c 19.6121
_cell_angle_alpha 90.00
_cell_angle_beta 90.00
_cell_angle_gamma 120.00
_symmetry_space_group_name_H-M 'R -3 m'
_symmetry_Int_Tables_number 166
_symmetry_space_group_name_Hall '-R 3 2"'
loop_
_atom_site_label
_atom_site_type_symbol
_atom_site_fract_x
_atom_site_fract_y
_atom_site_fract_z
Cs1 Cs 0.0000 0.0000 0.1306
Ba1 Ba 0.0000 0.0000 0.5000
Pu1 Pu 0.0000 0.5000 0.0000
F1 F 0.0087 0.5043 0.8822
F2 F 0.0839 0.5419 0.3114